# AlZnSb2 (SCAN, PBEsol geometry)
data_AlZnSb2
_chemical_formula_sum 'Al4 Zn4 Sb8'
_cell_length_a 7.069
_cell_length_b 7.069
_cell_length_c 7.069
_cell_angle_alpha 90.00
_cell_angle_beta 90.00
_cell_angle_gamma 90.00
_symmetry_space_group_name_H-M 'F -4 3 m'
_symmetry_Int_Tables_number 216
_symmetry_space_group_name_Hall 'F -4 2 3'
loop_
_atom_site_label
_atom_site_type_symbol
_atom_site_fract_x
_atom_site_fract_y
_atom_site_fract_z
Al1 Al 0.000 0.000 0.000
Zn1 Zn 0.250 0.250 0.750
Sb1 Sb 0.000 0.000 0.500
Sb2 Sb 0.250 0.250 0.250
# D(E_F) ... 6.0 states/eV/cell
# Energy relative to the elements, uncorrected ... 0.35 eV per atom
# E_tot ... -23.6007 eV per atom